[1]
Below is a relaxed TiRu2AuS crystal, with properties calculated at the PBE level.

Formation energy (no corrections) in eV per atom: 0.08

a = 4.3247 Å, b = 4.4602 Å, c = 4.3247 Å
α = 90.00°, β = 90.00°, γ = 90.00°
Sites, in units of the cell vectors:
Ti (0.0000, 0.5000, 0.0000)
S (0.0000, 0.0000, 0.0000)
Ru (0.5000, 0.0000, 0.0000)
Ru (0.0000, 0.0000, 0.5000)
Au (0.5000, 0.5000, 0.5000)

***

[2]
Below is a relaxed ZrRuAuS2 crystal, with properties calculated at the PBE level.

Formation energy (no corrections) in eV per atom: 1.23

a = 4.7041 Å, b = 5.2920 Å, c = 4.7041 Å
α = 90.00°, β = 90.00°, γ = 90.00°
Sites, in units of the cell vectors:
Ru (0.5000, 0.5000, 0.5000)
S (0.5000, 0.0000, 0.0000)
Au (0.0000, 0.0000, 0.0000)
Zr (0.0000, 0.5000, 0.0000)
S (0.0000, 0.0000, 0.5000)

***

[3]
Below is a relaxed SbRu2Au crystal, with properties calculated at the PBE level.

Formation energy (no corrections) in eV per atom: 0.57

a = 3.9787 Å, b = 3.9787 Å, c = 9.9799 Å
α = 78.50°, β = 78.50°, γ = 90.00°
Sites, in units of the cell vectors:
Ru (0.8750, 0.9374, 0.7500)
Sb (0.5000, 0.5000, 0.0000)
Sb (0.2500, 0.7500, 0.5000)
Au (0.0000, 0.0000, 0.0000)
Ru (0.3750, 0.3126, 0.7500)
Ru (0.0626, 0.6250, 0.2500)
Au (0.7500, 0.2500, 0.5000)
Ru (0.6874, 0.1250, 0.2500)

***

[4]
Below is a relaxed SbRu2Au crystal, with properties calculated at the PBE level.

Formation energy (no corrections) in eV per atom: 0.36

a = 5.8328 Å, b = 5.8328 Å, c = 5.8328 Å
α = 151.06°, β = 133.15°, γ = 56.01°
Sites, in units of the cell vectors:
Ru (0.7597, 0.2597, 0.5000)
Ru (0.9675, 0.9675, 0.0000)
Au (0.2431, 0.7431, 0.5000)
Sb (0.5297, 0.5297, 0.0000)

***

[5]
Below is a relaxed SbRu2Au crystal, with properties calculated at the PBE level.

Formation energy (no corrections) in eV per atom: 0.24

a = 4.4690 Å, b = 4.4690 Å, c = 3.2978 Å
α = 90.00°, β = 90.00°, γ = 89.98°
Sites, in units of the cell vectors:
Ru (0.0000, 0.0000, 0.0000)
Sb (0.5000, 0.0000, 0.5000)
Au (0.0000, 0.5000, 0.5000)
Ru (0.5000, 0.5000, 0.0000)

***

[6]
Below is a relaxed SbRu2Au crystal, with properties calculated at the PBE level.

Formation energy (no corrections) in eV per atom: 0.28

a = 3.6637 Å, b = 2.8852 Å, c = 8.1408 Å
α = 58.10°, β = 90.00°, γ = 90.00°
Sites, in units of the cell vectors:
Ru (0.5000, 0.2506, 0.2086)
Sb (0.0000, 0.3811, 0.4553)
Ru (0.0000, 0.0002, 0.0410)
Au (0.5000, 0.8681, 0.7950)

***

Repeat the sixth record exactly.
Below is a relaxed SbRu2Au crystal, with properties calculated at the PBE level.

Formation energy (no corrections) in eV per atom: 0.28

a = 3.6637 Å, b = 2.8852 Å, c = 8.1408 Å
α = 58.10°, β = 90.00°, γ = 90.00°
Sites, in units of the cell vectors:
Ru (0.5000, 0.2506, 0.2086)
Sb (0.0000, 0.3811, 0.4553)
Ru (0.0000, 0.0002, 0.0410)
Au (0.5000, 0.8681, 0.7950)

***

What did the fourth record say?
Below is a relaxed SbRu2Au crystal, with properties calculated at the PBE level.

Formation energy (no corrections) in eV per atom: 0.36

a = 5.8328 Å, b = 5.8328 Å, c = 5.8328 Å
α = 151.06°, β = 133.15°, γ = 56.01°
Sites, in units of the cell vectors:
Ru (0.7597, 0.2597, 0.5000)
Ru (0.9675, 0.9675, 0.0000)
Au (0.2431, 0.7431, 0.5000)
Sb (0.5297, 0.5297, 0.0000)